## Dy2TmZrN4 (PBE)

Data for crystalline Dy2TmZrN4 at its relaxed geometry.

total moment = 0.00 μB/f.u.
space-group type = P2/m, No. 10
crystal system = monoclinic
formation energy without anion corrections = -1.77 eV per atom

abc: 5.8677 3.3853 5.8800
angles: 90.00 109.27 90.00
Last column: nearest neighbours and their distance in Å.
Fractional coordinates of all 8 atoms:
Dy (0.0000, 0.0000, 0.0000)  6 N 2.46-2.47
Dy (0.5000, 0.5000, 0.0000)  6 N 2.41-2.42
Tm (0.0000, 0.5000, 0.5000)  6 N 2.38
Zr (0.5000, 0.0000, 0.5000)  6 N 2.32-2.34
N (0.2541, 0.0000, 0.7393)  1 Zr 2.32, 2 Tm 2.38, 3 Dy 2.42-2.47
N (0.2607, 0.5000, 0.2640)  2 Zr 2.34, 1 Tm 2.38, 3 Dy 2.41-2.46
N (0.7393, 0.5000, 0.7360)  2 Zr 2.34, 1 Tm 2.38, 3 Dy 2.41-2.46
N (0.7459, 0.0000, 0.2607)  1 Zr 2.32, 2 Tm 2.38, 3 Dy 2.42-2.47